Record 1
! Th4ScTl5 | Alexandria | GGA-PBE | optimized geometry; values from VASP
! * final energy: -4.949 eV per atom
! * size of the total moment: 0.081 μB/f.u.
! * ΔH_f (0 K): -165 meV per atom
! * crystal system: tetragonal
&SYSTEM
  ibrav = 0, nat = 10, ntyp = 3
/
ATOMIC_SPECIES
Th 232.04 Th.upf
Sc 44.96 Sc.upf
Tl 204.38 Tl.upf
ATOMIC_POSITIONS crystal
Th 0.000 0.000 0.104
Th 0.000 0.000 0.312
Th 0.000 0.000 0.688
Th 0.000 0.000 0.896
Sc 0.000 0.000 0.500
Tl 0.500 0.500 0.000
Tl 0.500 0.500 0.208
Tl 0.500 0.500 0.415
Tl 0.500 0.500 0.585
Tl 0.500 0.500 0.792
CELL_PARAMETERS angstrom
3.549 0.000 0.000
0.000 3.549 0.000
0.000 0.000 22.283



Record 2
! ThSc5Tl4 | Alexandria | GGA-PBE | optimized geometry; values from VASP
! * final energy: -5.078 eV per atom
! * size of the total moment: 0.260 μB/f.u.
! * ΔH_f (0 K): -224 meV per atom
! * crystal system: tetragonal
&SYSTEM
  ibrav = 0, nat = 10, ntyp = 3
/
ATOMIC_SPECIES
Th 232.04 Th.upf
Sc 44.96 Sc.upf
Tl 204.38 Tl.upf
ATOMIC_POSITIONS crystal
Th 0.000 0.000 0.000
Sc 0.500 0.500 0.110
Sc 0.500 0.500 0.305
Sc 0.500 0.500 0.500
Sc 0.500 0.500 0.695
Sc 0.500 0.500 0.890
Tl 0.000 0.000 0.207
Tl 0.000 0.000 0.402
Tl 0.000 0.000 0.598
Tl 0.000 0.000 0.793
CELL_PARAMETERS angstrom
3.382 0.000 0.000
0.000 3.382 0.000
0.000 0.000 21.192



Record 3
! Th3Sc4Tl | Alexandria | GGA-PBE | optimized geometry; values from VASP
! * final energy: -6.318 eV per atom
! * size of the total moment: 0.000 μB/f.u.
! * ΔH_f (0 K): -74 meV per atom
! * crystal system: tetragonal
&SYSTEM
  ibrav = 0, nat = 8, ntyp = 3
/
ATOMIC_SPECIES
Th 232.04 Th.upf
Sc 44.96 Sc.upf
Tl 204.38 Tl.upf
ATOMIC_POSITIONS crystal
Th 0.000 0.000 0.000
Th 0.000 0.000 0.263
Th 0.000 0.000 0.737
Sc 0.500 0.500 0.131
Sc 0.500 0.500 0.390
Sc 0.500 0.500 0.610
Sc 0.500 0.500 0.869
Tl 0.000 0.000 0.500
CELL_PARAMETERS angstrom
3.491 0.000 0.000
0.000 3.491 0.000
0.000 0.000 17.785



Record 4
! Th2ScTl3 | Alexandria | GGA-PBE | optimized geometry; values from VASP
! * final energy: -4.675 eV per atom
! * size of the total moment: 0.000 μB/f.u.
! * ΔH_f (0 K): 37 meV per atom
! * crystal system: orthorhombic
&SYSTEM
  ibrav = 0, nat = 6, ntyp = 3
/
ATOMIC_SPECIES
Th 232.04 Th.upf
Sc 44.96 Sc.upf
Tl 204.38 Tl.upf
ATOMIC_POSITIONS crystal
Th 0.178 0.178 0.000
Th 0.822 0.822 0.000
Sc 0.500 0.500 0.000
Tl 0.000 0.500 0.500
Tl 0.356 0.856 0.500
Tl 0.644 0.144 0.500
CELL_PARAMETERS angstrom
-2.589 3.177 5.538
2.589 -3.177 5.538
2.589 3.177 -5.538



Record 5
! Th2Sc9Tl | Alexandria | GGA-PBE | optimized geometry; values from VASP
! * final energy: -6.207 eV per atom
! * size of the total moment: 1.860 μB/f.u.
! * ΔH_f (0 K): -24 meV per atom
! * crystal system: tetragonal
&SYSTEM
  ibrav = 0, nat = 12, ntyp = 3
/
ATOMIC_SPECIES
Th 232.04 Th.upf
Sc 44.96 Sc.upf
Tl 204.38 Tl.upf
ATOMIC_POSITIONS crystal
Th 0.000 0.000 0.168
Th 0.000 0.000 0.832
Sc 0.000 0.500 0.000
Sc 0.000 0.500 0.340
Sc 0.000 0.500 0.660
Sc 0.500 0.000 0.000
Sc 0.500 0.000 0.340
Sc 0.500 0.000 0.660
Sc 0.500 0.500 0.175
Sc 0.500 0.500 0.500
Sc 0.500 0.500 0.825
Tl 0.000 0.000 0.500
CELL_PARAMETERS angstrom
4.699 0.000 0.000
0.000 4.699 0.000
0.000 0.000 13.784



Record 6
! Th2ScTl | Alexandria | GGA-PBE | optimized geometry; values from VASP
! * final energy: -5.845 eV per atom
! * size of the total moment: 0.000 μB/f.u.
! * ΔH_f (0 K): 40 meV per atom
! * polymorph energy (0 for the lowest one): 129 meV/atom
! * crystal system: trigonal
&SYSTEM
  ibrav = 0, nat = 4, ntyp = 3
/
ATOMIC_SPECIES
Th 232.04 Th.upf
Sc 44.96 Sc.upf
Tl 204.38 Tl.upf
ATOMIC_POSITIONS crystal
Th 0.000 0.000 0.000
Th 0.168 0.168 0.168
Sc 0.583 0.583 0.583
Tl 0.418 0.418 0.418
CELL_PARAMETERS angstrom
1.735 1.002 11.348
-1.735 1.002 11.348
0.000 -2.004 11.348



Record 7
! ThScTl6 | Alexandria | GGA-PBE | optimized geometry; values from VASP
! * final energy: -3.611 eV per atom
! * size of the total moment: 0.000 μB/f.u.
! * ΔH_f (0 K): -118 meV per atom
! * crystal system: tetragonal
&SYSTEM
  ibrav = 0, nat = 8, ntyp = 3
/
ATOMIC_SPECIES
Th 232.04 Th.upf
Sc 44.96 Sc.upf
Tl 204.38 Tl.upf
ATOMIC_POSITIONS crystal
Th 0.000 0.000 0.000
Sc 0.000 0.000 0.500
Tl 0.000 0.500 0.261
Tl 0.000 0.500 0.739
Tl 0.500 0.000 0.261
Tl 0.500 0.000 0.739
Tl 0.500 0.500 0.000
Tl 0.500 0.500 0.500
CELL_PARAMETERS angstrom
4.772 0.000 0.000
0.000 4.772 0.000
0.000 0.000 9.404



Record 8
! ThSc3Tl4 | Alexandria | GGA-PBE | optimized geometry; values from VASP
! * final energy: -4.692 eV per atom
! * size of the total moment: 0.671 μB/f.u.
! * ΔH_f (0 K): -207 meV per atom
! * crystal system: tetragonal
&SYSTEM
  ibrav = 0, nat = 8, ntyp = 3
/
ATOMIC_SPECIES
Th 232.04 Th.upf
Sc 44.96 Sc.upf
Tl 204.38 Tl.upf
ATOMIC_POSITIONS crystal
Th 0.000 0.000 0.000
Sc 0.000 0.000 0.500
Sc 0.500 0.500 0.000
Sc 0.500 0.500 0.500
Tl 0.000 0.500 0.262
Tl 0.000 0.500 0.738
Tl 0.500 0.000 0.262
Tl 0.500 0.000 0.738
CELL_PARAMETERS angstrom
4.811 0.000 0.000
0.000 4.811 0.000
0.000 0.000 8.682



Record 9
! ThScTl2 | Alexandria | GGA-PBE | optimized geometry; values from VASP
! * final energy: -4.821 eV per atom
! * size of the total moment: 0.158 μB/f.u.
! * ΔH_f (0 K): -200 meV per atom
! * crystal system: tetragonal
&SYSTEM
  ibrav = 0, nat = 4, ntyp = 3
/
ATOMIC_SPECIES
Th 232.04 Th.upf
Sc 44.96 Sc.upf
Tl 204.38 Tl.upf
ATOMIC_POSITIONS crystal
Th 0.000 0.000 0.000
Sc 0.000 0.000 0.500
Tl 0.500 0.500 0.273
Tl 0.500 0.500 0.727
CELL_PARAMETERS angstrom
3.500 0.000 0.000
0.000 3.500 0.000
0.000 0.000 8.585



Record 10
! ThSc3Tl | Alexandria | GGA-PBE | optimized geometry; values from VASP
! * final energy: -5.849 eV per atom
! * size of the total moment: 0.001 μB/f.u.
! * ΔH_f (0 K): -93 meV per atom
! * crystal system: orthorhombic
&SYSTEM
  ibrav = 0, nat = 20, ntyp = 3
/
ATOMIC_SPECIES
Th 232.04 Th.upf
Sc 44.96 Sc.upf
Tl 204.38 Tl.upf
ATOMIC_POSITIONS crystal
Th 0.142 0.250 0.024
Th 0.358 0.750 0.524
Th 0.642 0.250 0.476
Th 0.858 0.750 0.976
Sc 0.103 0.250 0.430
Sc 0.121 0.750 0.237
Sc 0.134 0.750 0.824
Sc 0.366 0.250 0.324
Sc 0.379 0.250 0.737
Sc 0.397 0.750 0.930
Sc 0.603 0.250 0.070
Sc 0.621 0.750 0.263
Sc 0.634 0.750 0.676
Sc 0.866 0.250 0.176
Sc 0.879 0.250 0.763
Sc 0.897 0.750 0.570
Tl 0.121 0.250 0.642
Tl 0.379 0.750 0.142
Tl 0.621 0.250 0.858
Tl 0.879 0.750 0.358
CELL_PARAMETERS angstrom
10.482 0.000 0.000
0.000 3.472 0.000
0.000 0.000 14.317



Record 11
! Th2Sc3Tl4 | Alexandria | GGA-PBE | optimized geometry; values from VASP
! * final energy: -4.979 eV per atom
! * size of the total moment: 0.000 μB/f.u.
! * ΔH_f (0 K): -168 meV per atom
! * crystal system: orthorhombic
&SYSTEM
  ibrav = 0, nat = 18, ntyp = 3
/
ATOMIC_SPECIES
Th 232.04 Th.upf
Sc 44.96 Sc.upf
Tl 204.38 Tl.upf
ATOMIC_POSITIONS crystal
Th 0.111 0.889 0.914
Th 0.389 0.611 0.414
Th 0.611 0.389 0.586
Th 0.889 0.111 0.086
Sc 0.000 0.000 0.500
Sc 0.033 0.467 0.750
Sc 0.467 0.033 0.250
Sc 0.500 0.500 0.000
Sc 0.533 0.967 0.750
Sc 0.967 0.533 0.250
Tl 0.182 0.818 0.547
Tl 0.207 0.293 0.750
Tl 0.293 0.207 0.250
Tl 0.318 0.682 0.047
Tl 0.682 0.318 0.953
Tl 0.707 0.793 0.750
Tl 0.793 0.707 0.250
Tl 0.818 0.182 0.453
CELL_PARAMETERS angstrom
3.368 -8.315 0.000
3.368 8.315 0.000
0.000 0.000 8.654



Record 12
! ThSc4Tl5 | Alexandria | GGA-PBE | optimized geometry; values from VASP
! * final energy: -4.695 eV per atom
! * size of the total moment: 0.000 μB/f.u.
! * ΔH_f (0 K): -237 meV per atom
! * crystal system: tetragonal
&SYSTEM
  ibrav = 0, nat = 10, ntyp = 3
/
ATOMIC_SPECIES
Th 232.04 Th.upf
Sc 44.96 Sc.upf
Tl 204.38 Tl.upf
ATOMIC_POSITIONS crystal
Th 0.000 0.000 0.000
Sc 0.000 0.000 0.213
Sc 0.000 0.000 0.404
Sc 0.000 0.000 0.596
Sc 0.000 0.000 0.787
Tl 0.500 0.500 0.118
Tl 0.500 0.500 0.310
Tl 0.500 0.500 0.500
Tl 0.500 0.500 0.690
Tl 0.500 0.500 0.882
CELL_PARAMETERS angstrom
3.541 0.000 0.000
0.000 3.541 0.000
0.000 0.000 19.599



Record 13
! Th2ScTl | Alexandria | GGA-PBE | optimized geometry; values from VASP
! * final energy: -5.688 eV per atom
! * size of the total moment: 0.000 μB/f.u.
! * ΔH_f (0 K): 197 meV per atom
! * polymorph energy (0 for the lowest one): 286 meV/atom
! * crystal system: trigonal
&SYSTEM
  ibrav = 0, nat = 4, ntyp = 3
/
ATOMIC_SPECIES
Th 232.04 Th.upf
Sc 44.96 Sc.upf
Tl 204.38 Tl.upf
ATOMIC_POSITIONS crystal
Th 0.091 0.091 0.091
Th 0.909 0.909 0.909
Sc 0.500 0.500 0.500
Tl 0.000 0.000 0.000
CELL_PARAMETERS angstrom
1.718 0.992 12.235
-1.718 0.992 12.235
0.000 -1.984 12.235



Record 14
! ThScTl | Alexandria | GGA-PBE | optimized geometry; values from VASP
! * final energy: -5.275 eV per atom
! * size of the total moment: 0.000 μB/f.u.
! * ΔH_f (0 K): 98 meV per atom
! * polymorph energy (0 for the lowest one): 279 meV/atom
! * crystal system: trigonal
&SYSTEM
  ibrav = 0, nat = 6, ntyp = 3
/
ATOMIC_SPECIES
Th 232.04 Th.upf
Sc 44.96 Sc.upf
Tl 204.38 Tl.upf
ATOMIC_POSITIONS crystal
Th 0.136 0.136 0.136
Th 0.864 0.864 0.864
Sc 0.283 0.283 0.283
Sc 0.717 0.717 0.717
Tl 0.416 0.416 0.416
Tl 0.584 0.584 0.584
CELL_PARAMETERS angstrom
2.617 1.511 7.449
-2.617 1.511 7.449
0.000 -3.022 7.449



Record 15
! Th5ScTl4 | Alexandria | GGA-PBE | optimized geometry; values from VASP
! * final energy: -5.253 eV per atom
! * size of the total moment: 0.000 μB/f.u.
! * ΔH_f (0 K): 37 meV per atom
! * crystal system: monoclinic
&SYSTEM
  ibrav = 0, nat = 10, ntyp = 3
/
ATOMIC_SPECIES
Th 232.04 Th.upf
Sc 44.96 Sc.upf
Tl 204.38 Tl.upf
ATOMIC_POSITIONS crystal
Th 0.000 0.000 0.000
Th 0.316 0.316 0.899
Th 0.346 0.346 0.276
Th 0.654 0.654 0.724
Th 0.684 0.684 0.101
Sc 0.000 0.000 0.500
Tl 0.177 0.177 0.418
Tl 0.466 0.466 0.722
Tl 0.534 0.534 0.278
Tl 0.823 0.823 0.582
CELL_PARAMETERS angstrom
8.670 -1.794 0.000
8.670 1.794 0.000
-1.351 0.000 9.756



Record 16
! ThScTl2 | Alexandria | GGA-PBE | optimized geometry; values from VASP
! * final energy: -4.530 eV per atom
! * size of the total moment: 0.000 μB/f.u.
! * ΔH_f (0 K): 91 meV per atom
! * crystal system: trigonal
&SYSTEM
  ibrav = 0, nat = 4, ntyp = 3
/
ATOMIC_SPECIES
Th 232.04 Th.upf
Sc 44.96 Sc.upf
Tl 204.38 Tl.upf
ATOMIC_POSITIONS crystal
Th 0.000 0.000 0.000
Sc 0.193 0.193 0.193
Tl 0.580 0.580 0.580
Tl 0.783 0.783 0.783
CELL_PARAMETERS angstrom
2.431 1.403 5.877
-2.431 1.403 5.877
0.000 -2.807 5.877



Record 17
! Th2ScTl | Alexandria | GGA-PBE | optimized geometry; values from VASP
! * final energy: -5.974 eV per atom
! * size of the total moment: 0.000 μB/f.u.
! * ΔH_f (0 K): -90 meV per atom
! * polymorph energy (0 for the lowest one): 0 meV/atom
! * crystal system: tetragonal
&SYSTEM
  ibrav = 0, nat = 4, ntyp = 3
/
ATOMIC_SPECIES
Th 232.04 Th.upf
Sc 44.96 Sc.upf
Tl 204.38 Tl.upf
ATOMIC_POSITIONS crystal
Th 0.000 0.500 0.000
Th 0.500 0.000 0.000
Sc 0.000 0.000 0.500
Tl 0.500 0.500 0.500
CELL_PARAMETERS angstrom
4.752 0.000 0.000
0.000 4.752 0.000
0.000 0.000 4.988



Record 18
! ThSc6Tl | Alexandria | GGA-PBE | optimized geometry; values from VASP
! * final energy: -6.024 eV per atom
! * size of the total moment: 1.371 μB/f.u.
! * ΔH_f (0 K): -52 meV per atom
! * crystal system: tetragonal
&SYSTEM
  ibrav = 0, nat = 8, ntyp = 3
/
ATOMIC_SPECIES
Th 232.04 Th.upf
Sc 44.96 Sc.upf
Tl 204.38 Tl.upf
ATOMIC_POSITIONS crystal
Th 0.000 0.000 0.000
Sc 0.000 0.500 0.256
Sc 0.000 0.500 0.744
Sc 0.500 0.000 0.256
Sc 0.500 0.000 0.744
Sc 0.500 0.500 0.000
Sc 0.500 0.500 0.500
Tl 0.000 0.000 0.500
CELL_PARAMETERS angstrom
4.645 0.000 0.000
0.000 4.645 0.000
0.000 0.000 9.210



Record 19
! ThScTl | Alexandria | GGA-PBE | optimized geometry; values from VASP
! * final energy: -5.553 eV per atom
! * size of the total moment: 0.000 μB/f.u.
! * ΔH_f (0 K): -181 meV per atom
! * polymorph energy (0 for the lowest one): 0 meV/atom
! * crystal system: hexagonal
&SYSTEM
  ibrav = 0, nat = 6, ntyp = 3
/
ATOMIC_SPECIES
Th 232.04 Th.upf
Sc 44.96 Sc.upf
Tl 204.38 Tl.upf
ATOMIC_POSITIONS crystal
Th 0.000 0.000 0.000
Th 0.000 0.000 0.500
Sc 0.333 0.667 0.250
Sc 0.667 0.333 0.750
Tl 0.333 0.667 0.750
Tl 0.667 0.333 0.250
CELL_PARAMETERS angstrom
5.312 0.000 0.000
-2.656 4.600 0.000
0.000 0.000 6.565



Record 20
! ThSc4Tl | Alexandria | GGA-PBE | optimized geometry; values from VASP
! * final energy: -5.381 eV per atom
! * size of the total moment: 0.001 μB/f.u.
! * ΔH_f (0 K): 471 meV per atom
! * polymorph energy (0 for the lowest one): 547 meV/atom
! * crystal system: monoclinic
&SYSTEM
  ibrav = 0, nat = 6, ntyp = 3
/
ATOMIC_SPECIES
Th 232.04 Th.upf
Sc 44.96 Sc.upf
Tl 204.38 Tl.upf
ATOMIC_POSITIONS crystal
Th 0.000 0.000 0.000
Sc 0.124 0.124 0.372
Sc 0.385 0.385 0.151
Sc 0.615 0.615 0.849
Sc 0.876 0.876 0.628
Tl 0.500 0.500 0.500
CELL_PARAMETERS angstrom
4.230 -2.454 0.000
4.230 2.454 0.000
-2.816 0.000 8.576